First-principles (PBE-GGA) data for a relaxed structure of Mg2GaSi2Pt5, as listed in Alexandria via LeMat-Bulk.

a b c (Å): 9.8470 9.8470 3.3086
angles (deg): 90.00 90.00 90.00
Atoms (fractional coordinates):
Mg (0.1720, 0.3280, 0.0000)
Mg (0.3280, 0.8280, 0.0000)
Mg (0.6720, 0.1720, 0.0000)
Mg (0.8280, 0.6720, 0.0000)
Ga (0.0000, 0.0000, 0.0000)
Ga (0.5000, 0.5000, 0.0000)
Si (0.1331, 0.6331, 0.0000)
Si (0.3669, 0.1331, 0.0000)
Si (0.6331, 0.8669, 0.0000)
Si (0.8669, 0.3669, 0.0000)
Pt (0.0000, 0.5000, 0.5000)
Pt (0.0404, 0.7909, 0.5000)
Pt (0.2091, 0.0404, 0.5000)
Pt (0.2909, 0.5404, 0.5000)
Pt (0.4596, 0.2909, 0.5000)
Pt (0.5000, 0.0000, 0.5000)
Pt (0.5404, 0.7091, 0.5000)
Pt (0.7091, 0.4596, 0.5000)
Pt (0.7909, 0.9596, 0.5000)
Pt (0.9596, 0.2091, 0.5000)

Calculated values
Formation energy from raw total energies = -0.68 eV/atom
D(E_F) = 2.881 states/eV/f.u.

=====

First-principles (PBE-GGA) data for a relaxed structure of Li2Ga2Ag3, as listed in Alexandria via LeMat-Bulk.

a b c (Å): 5.0277 5.0277 6.0160
angles (deg): 94.64 94.64 49.68
Atoms (fractional coordinates):
Li (0.0854, 0.0854, 0.2222)
Li (0.9146, 0.9146, 0.7778)
Ga (0.3663, 0.3663, 0.0734)
Ga (0.6337, 0.6337, 0.9266)
Ag (0.2059, 0.2059, 0.6638)
Ag (0.5000, 0.5000, 0.5000)
Ag (0.7941, 0.7941, 0.3362)

Calculated values
Formation energy from the elements = -1.42 eV per formula unit
D(E_F) = 1.329 states/eV/f.u.

=====

First-principles (PBE-GGA) data for a relaxed structure of YIn8Co2, as listed in Alexandria via LeMat-Bulk.

a b c (Å): 4.3453 4.3453 13.4770
angles (deg): 90.00 90.00 90.00
Atoms (fractional coordinates):
Y (0.0000, 0.0000, 0.0000)
In (0.0000, 0.5000, 0.1722)
In (0.0000, 0.5000, 0.5000)
In (0.0000, 0.5000, 0.8278)
In (0.5000, 0.0000, 0.1722)
In (0.5000, 0.0000, 0.5000)
In (0.5000, 0.0000, 0.8278)
In (0.5000, 0.5000, 0.3350)
In (0.5000, 0.5000, 0.6650)
Co (0.0000, 0.0000, 0.3026)
Co (0.0000, 0.0000, 0.6974)

Calculated values
Formation energy from the elements = 1.80 eV per formula unit
D(E_F) = 8.834 states/eV/f.u.

=====

First-principles (PBE-GGA) data for a relaxed structure of Sm4Y6Sc, as listed in Alexandria via LeMat-Bulk.

a b c (Å): 5.6029 5.6029 25.8041
angles (deg): 90.00 90.00 118.86
Atoms (fractional coordinates):
Sm (0.0251, 0.9749, 0.6220)
Sm (0.0251, 0.9749, 0.8780)
Sm (0.3421, 0.6579, 0.5453)
Sm (0.3421, 0.6579, 0.9547)
Sm (0.6579, 0.3421, 0.0453)
Sm (0.6579, 0.3421, 0.4547)
Sm (0.9749, 0.0251, 0.1220)
Sm (0.9749, 0.0251, 0.3780)
Y (0.0000, 0.0000, 0.0000)
Y (0.0000, 0.0000, 0.5000)
Y (0.0148, 0.9852, 0.7500)
Y (0.3134, 0.6866, 0.1090)
Y (0.3134, 0.6866, 0.3910)
Y (0.3517, 0.6483, 0.6835)
Y (0.3517, 0.6483, 0.8165)
Y (0.6483, 0.3517, 0.1835)
Y (0.6483, 0.3517, 0.3165)
Y (0.6866, 0.3134, 0.6090)
Y (0.6866, 0.3134, 0.8910)
Y (0.9852, 0.0148, 0.2500)
Sc (0.3192, 0.6808, 0.2500)
Sc (0.6808, 0.3192, 0.7500)

Calculated values
Formation energy from the elements = 1.43 eV per formula unit
D(E_F) = 20.765 states/eV/f.u.

=====

First-principles (PBE-GGA) data for a relaxed structure of CsBe2In2O6, as listed in Alexandria via LeMat-Bulk.

a b c (Å): 5.9623 5.9961 6.1512
angles (deg): 61.80 82.34 62.59
Atoms (fractional coordinates):
Cs (0.0000, 0.0000, 0.0000)
Be (0.2995, 0.1092, 0.2888)
Be (0.7005, 0.8908, 0.7112)
In (0.3728, 0.5532, 0.7320)
In (0.6272, 0.4468, 0.2680)
O (0.0247, 0.2173, 0.3639)
O (0.4019, 0.3241, 0.1284)
O (0.4498, 0.7873, 0.3626)
O (0.5502, 0.2127, 0.6374)
O (0.5981, 0.6759, 0.8716)
O (0.9753, 0.7827, 0.6361)

Calculated values
Formation energy from raw total energies = -1.67 eV/atom

=====

First-principles (PBE-GGA) data for a relaxed structure of Pm5Er3Tl, as listed in Alexandria via LeMat-Bulk.

a b c (Å): 7.9721 7.9721 11.3162
angles (deg): 95.42 95.42 60.60
Atoms (fractional coordinates):
Pm (0.0080, 0.0080, 0.3700)
Pm (0.1606, 0.5856, 0.2466)
Pm (0.1681, 0.8319, 0.0000)
Pm (0.2624, 0.2624, 0.9622)
Pm (0.4144, 0.8394, 0.7534)
Pm (0.5856, 0.1606, 0.2466)
Pm (0.7376, 0.7376, 0.0378)
Pm (0.8319, 0.1681, 0.0000)
Pm (0.8394, 0.4144, 0.7534)
Pm (0.9920, 0.9920, 0.6300)
Er (0.1692, 0.1692, 0.2156)
Er (0.2425, 0.2425, 0.5239)
Er (0.5000, 0.5000, 0.0000)
Er (0.5000, 0.5000, 0.5000)
Er (0.7575, 0.7575, 0.4761)
Er (0.8308, 0.8308, 0.7844)
Tl (0.4034, 0.4034, 0.7400)
Tl (0.5966, 0.5966, 0.2600)

Calculated values
Formation energy from the elements = 3.59 eV per formula unit
D(E_F) = 11.832 states/eV/f.u.

=====

First-principles (PBE-GGA) data for a relaxed structure of LiLaTa2, as listed in Alexandria via LeMat-Bulk.

a b c (Å): 4.1095 4.1095 4.9984
angles (deg): 90.00 90.00 90.00
Atoms (fractional coordinates):
Li (0.0000, 0.0000, 0.0000)
La (0.5000, 0.5000, 0.0000)
Ta (0.0000, 0.5000, 0.5000)
Ta (0.5000, 0.0000, 0.5000)

Calculated values
Energy above the most stable polymorph in this dataset = 281 meV/atom
Formation energy from the elements = 2.50 eV per formula unit
D(E_F) = 6.413 states/eV/f.u.

=====

First-principles (PBE-GGA) data for a relaxed structure of As2PtPb, as listed in Alexandria via LeMat-Bulk.

a b c (Å): 3.7627 4.5443 4.8375
angles (deg): 90.00 90.00 90.00
Atoms (fractional coordinates):
As (0.0000, 0.0000, 0.0000)
As (0.5000, 0.0000, 0.5000)
Pt (0.0000, 0.5000, 0.5000)
Pb (0.5000, 0.5000, 0.0000)

Calculated values
Formation energy from the elements = 1.08 eV per formula unit
D(E_F) = 1.871 states/eV/f.u.

=====

First-principles (PBE-GGA) data for a relaxed structure of TaOs6W2, as listed in Alexandria via LeMat-Bulk.

a b c (Å): 8.3640 8.3640 3.9179
angles (deg): 90.00 90.00 90.00
Atoms (fractional coordinates):
Ta (0.0000, 0.0000, 0.0000)
Ta (0.5000, 0.5000, 0.5000)
Os (0.0041, 0.3411, 0.0000)
Os (0.1589, 0.5041, 0.5000)
Os (0.1699, 0.8301, 0.5000)
Os (0.3301, 0.3301, 0.0000)
Os (0.3411, 0.0041, 0.0000)
Os (0.4959, 0.8411, 0.5000)
Os (0.5041, 0.1589, 0.5000)
Os (0.6589, 0.9959, 0.0000)
Os (0.6699, 0.6699, 0.0000)
Os (0.8301, 0.1699, 0.5000)
Os (0.8411, 0.4959, 0.5000)
Os (0.9959, 0.6589, 0.0000)
W (0.1802, 0.1802, 0.5000)
W (0.3198, 0.6802, 0.0000)
W (0.6802, 0.3198, 0.0000)
W (0.8198, 0.8198, 0.5000)

Calculated values
Formation energy from the elements = -0.04 eV per formula unit
D(E_F) = 7.927 states/eV/f.u.

=====

First-principles (PBE-GGA) data for a relaxed structure of CaCu2, as listed in Alexandria via LeMat-Bulk.

a b c (Å): 5.5872 5.5872 5.5872
angles (deg): 40.41 40.41 40.41
Atoms (fractional coordinates):
Ca (0.0000, 0.0000, 0.0000)
Cu (0.1985, 0.1985, 0.1985)
Cu (0.8015, 0.8015, 0.8015)

Calculated values
Formation energy from the elements = 0.58 eV per formula unit
D(E_F) = 1.140 states/eV/f.u.

=====

First-principles (PBE-GGA) data for a relaxed structure of PrDy12Sc6, as listed in Alexandria via LeMat-Bulk.

a b c (Å): 9.0460 9.0460 9.0460
angles (deg): 109.47 109.47 109.47
Atoms (fractional coordinates):
Pr (0.0000, 0.0000, 0.0000)
Dy (0.0697, 0.8022, 0.2674)
Dy (0.1978, 0.2674, 0.4652)
Dy (0.1978, 0.7326, 0.9303)
Dy (0.2674, 0.0697, 0.8022)
Dy (0.2674, 0.4652, 0.1978)
Dy (0.4652, 0.1978, 0.2674)
Dy (0.5348, 0.8022, 0.7326)
Dy (0.7326, 0.5348, 0.8022)
Dy (0.7326, 0.9303, 0.1978)
Dy (0.8022, 0.2674, 0.0697)
Dy (0.8022, 0.7326, 0.5348)
Dy (0.9303, 0.1978, 0.7326)
Sc (0.1374, 0.6374, 0.5000)
Sc (0.3626, 0.5000, 0.8626)
Sc (0.5000, 0.1374, 0.6374)
Sc (0.5000, 0.8626, 0.3626)
Sc (0.6374, 0.5000, 0.1374)
Sc (0.8626, 0.3626, 0.5000)

Calculated values
Energy above the most stable polymorph in this dataset = 0 meV/atom
Formation energy from the elements = 4.67 eV per formula unit
D(E_F) = 32.260 states/eV/f.u.

=====

First-principles (PBE-GGA) data for a relaxed structure of In2Ag4Au3, as listed in Alexandria via LeMat-Bulk.

a b c (Å): 5.0986 5.2358 7.7719
angles (deg): 89.54 71.96 61.06
Atoms (fractional coordinates):
In (0.1173, 0.2596, 0.3251)
In (0.8827, 0.7403, 0.6749)
Ag (0.3325, 0.8274, 0.9999)
Ag (0.4459, 0.6007, 0.3326)
Ag (0.5541, 0.3993, 0.6674)
Ag (0.6675, 0.1726, 0.0001)
Au (0.0000, 0.5000, 0.0000)
Au (0.2209, 0.0634, 0.6693)
Au (0.7791, 0.9366, 0.3307)

Calculated values
Energy above the most stable polymorph in this dataset = 9 meV/atom
Formation energy from the elements = -0.77 eV per formula unit
D(E_F) = 2.631 states/eV/f.u.